First-principles (PBE) data for a geometry-optimized LaCe2Y3As6 structure, as listed in Alexandria via LeMat-Bulk.

Geometry as POSCAR:
```
LaCe2Y3As6
1.0
-6.013 0.585 4.063
6.453 -1.102 3.187
0.798 6.932 -1.992
Y Ce As La
3 2 6 1
Direct
0.500 0.500 0.500
0.165 0.835 0.500
0.835 0.165 0.500
0.667 0.333 0.000
0.333 0.667 0.000
0.914 0.575 0.744
0.086 0.425 0.256
0.425 0.086 0.256
0.746 0.746 0.257
0.575 0.914 0.744
0.254 0.254 0.743
0.000 0.000 0.000
```

Results
calculated volume	26.17	Å³ per atom
magnetization	1.28	μB per formula unit
formation energy	-1.52	eV/atom
DFT total energy	-6.856	eV per atom